(1)
Below is a relaxed structure of ZrTaI2, with properties calculated at the PBE level.

The structure in POSCAR format:
```
ZrTaI2
1.0
-4.183 1.848 -1.442
-1.116 -4.164 -2.101
-6.634 -4.052 6.081
I Zr Ta
4 2 2
Cartesian
-4.441 -0.366 0.347
-2.850 -3.397 0.037
-6.955 -3.879 3.247
-9.620 -5.093 1.447
-2.650 -1.158 -1.771
-5.200 -4.687 1.105
0.000 0.000 0.000
-6.734 -1.681 1.434
```

Computed properties:
- ΔE to the lowest computed polymorph: 20 meV/atom
- SG: No. 122



(2)
Below is a relaxed structure of NdHoTmZn, with properties calculated at the PBE level.

The structure in POSCAR format:
```
NdHoTmZn
1.0
5.360 0.000 0.000
2.680 4.642 0.000
2.680 1.547 4.377
Zn Tm Nd Ho
1 1 1 1
Cartesian
0.000 0.000 0.000
5.360 3.095 2.188
2.680 1.547 1.094
8.040 4.642 3.282
```

Computed properties:
- ΔE to the lowest computed polymorph: 196 meV/atom
- SG: No. 216
- Formation energy: 30.6 meV per atom



(3)
Below is a relaxed structure of MnAg3, with properties calculated at the PBE level.

The structure in POSCAR format:
```
MnAg3
1.0
5.354 0.009 0.030
-2.419 4.776 0.030
-2.419 -3.945 2.692
Ag Mn
3 1
Cartesian
0.000 0.000 0.000
-2.419 0.416 1.361
1.467 2.393 0.030
1.467 -1.968 1.361
```

Computed properties:
- SG: No. 166
- Formation energy: 265.1 meV per atom



(4)
Below is a relaxed structure of Mg2GaPt4, with properties calculated at the PBE level.

The structure in POSCAR format:
```
Mg2GaPt4
1.0
4.605 0.000 0.000
0.000 4.605 0.000
2.303 2.303 6.646
Mg Ga Pt
2 1 4
Cartesian
2.303 2.303 1.644
4.605 4.605 5.002
0.000 0.000 0.000
2.303 2.303 4.207
4.605 4.605 2.439
0.000 2.303 0.000
2.303 0.000 0.000
```

Computed properties:
- ΔE to the lowest computed polymorph: 662 meV/atom
- SG: No. 139
- Formation energy: 37.0 meV per atom



Number 1: volume 26.6 Å³ per atom. Number 2: volume 27.2 Å³ per atom. Number 3: volume 17.5 Å³ per atom. Number 4: volume 20.1 Å³ per atom.